First-principles (PBE+U) data for Fe2RhO after structural relaxation, as listed in Alexandria.

a = 5.392 Å, b = 5.392 Å, c = 5.392 Å
α = 114.03°, β = 114.03°, γ = 100.69°
Positions (direct):
Fe: 0.049 0.625 0.924
Fe: 0.375 0.299 0.424
Fe: 0.701 0.125 0.076
Fe: 0.875 0.951 0.576
Rh: 0.250 0.750 0.500
Rh: 0.500 0.500 0.000
O: 0.000 0.000 0.000
O: 0.750 0.250 0.500

Calculated values
The value obtained for the total energy is -24.08 eV/f.u. The mass density is 6.46 g/cm3.